# 1
KBa3Au: optimized geometry, PBE. Values from VASP.

```
&SYSTEM
  ibrav = 0, nat = 5, ntyp = 3
/
ATOMIC_SPECIES
K 39.10 K.upf
Ba 137.33 Ba.upf
Au 196.97 Au.upf
ATOMIC_POSITIONS crystal
K 0.000 0.000 0.000
Ba 0.000 0.500 0.500
Ba 0.500 0.000 0.500
Ba 0.500 0.500 0.000
Au 0.500 0.500 0.500
CELL_PARAMETERS angstrom
6.601 0.000 0.000
0.000 6.601 0.000
0.000 0.000 6.601
```

Computed properties:
Total DFT energy (no corrections) = -2.323 eV/atom
Fermi-level density of states = 5.396 states/eV per cell
ΔE_f = -1.47 eV per formula unit
Energy above the lowest structure with this stoichiometry = 0 meV/atom
Space-group type = Pm-3m, No. 221



# 2
Pm3Tl2Sn2: optimized geometry, PBE. Values from VASP.

```
&SYSTEM
  ibrav = 0, nat = 7, ntyp = 3
/
ATOMIC_SPECIES
Pm 145.00 Pm.upf
Tl 204.38 Tl.upf
Sn 118.71 Sn.upf
ATOMIC_POSITIONS crystal
Pm 0.000 0.000 0.000
Pm 0.280 0.280 0.257
Pm 0.720 0.720 0.743
Tl 0.094 0.094 0.528
Tl 0.906 0.906 0.472
Sn 0.367 0.367 0.799
Sn 0.633 0.633 0.201
CELL_PARAMETERS angstrom
7.946 -2.224 0.000
7.946 2.224 0.000
-0.239 0.000 6.177
```

Computed properties:
Total DFT energy (no corrections) = -4.321 eV/atom
Fermi-level density of states = 6.145 states/eV per cell
ΔE_f = -3.26 eV per formula unit
Space-group type = C2/m, No. 12



# 3
Zn2AgOs: optimized geometry, PBE. Values from VASP.

```
&SYSTEM
  ibrav = 0, nat = 4, ntyp = 3
/
ATOMIC_SPECIES
Zn 65.41 Zn.upf
Ag 107.87 Ag.upf
Os 190.23 Os.upf
ATOMIC_POSITIONS crystal
Zn 0.246 0.246 0.232
Zn 0.754 0.754 0.768
Ag 0.000 0.000 0.500
Os 0.500 0.500 0.000
CELL_PARAMETERS angstrom
4.408 -1.348 0.000
4.408 1.348 0.000
-0.735 0.000 5.129
```

Computed properties:
Total DFT energy (no corrections) = -3.890 eV/atom
Fermi-level density of states = 2.026 states/eV per cell
ΔE_f = 1.07 eV per formula unit
Energy above the lowest structure with this stoichiometry = 154 meV/atom
Space-group type = C2/m, No. 12



# 4
Pr3Si4Ag7: optimized geometry, PBE. Values from VASP.

```
&SYSTEM
  ibrav = 0, nat = 14, ntyp = 3
/
ATOMIC_SPECIES
Pr 140.91 Pr.upf
Si 28.09 Si.upf
Ag 107.87 Ag.upf
ATOMIC_POSITIONS crystal
Pr 0.000 0.000 0.000
Pr 0.305 0.305 0.301
Pr 0.695 0.695 0.699
Si 0.119 0.119 0.833
Si 0.342 0.342 0.729
Si 0.658 0.658 0.271
Si 0.881 0.881 0.167
Ag 0.000 0.000 0.500
Ag 0.158 0.158 0.419
Ag 0.325 0.325 0.979
Ag 0.492 0.492 0.702
Ag 0.508 0.508 0.298
Ag 0.675 0.675 0.021
Ag 0.842 0.842 0.581
CELL_PARAMETERS angstrom
8.194 -2.203 0.000
8.194 2.203 0.000
-5.676 0.000 7.893
```

Computed properties:
Total DFT energy (no corrections) = -4.333 eV/atom
Fermi-level density of states = 5.559 states/eV per cell
Uncorrected formation energy = -0.3337 eV per atom
Space-group type = C2/m, No. 12